# 1
# Cs2RbLi | Alexandria via LeMat-Bulk | PBE | optimized geometry
data_Cs2RbLi
_chemical_formula_sum 'Cs2 Rb1 Li1'
_space_group_name_H-M_alt 'P 4/m m m'
_space_group_IT_number 123
_space_group_name_Hall '-P 4 2'
_cell_length_a 5.1022
_cell_length_b 5.1022
_cell_length_c 12.4623
_cell_angle_alpha 90.00
_cell_angle_beta 90.00
_cell_angle_gamma 90.00
loop_
_atom_site_label
_atom_site_fract_x
_atom_site_fract_y
_atom_site_fract_z
_atom_site_occupancy
Cs1 0.0000 0.0000 0.1956 1
Rb1 0.5000 0.5000 0.5000 1
Li1 0.5000 0.5000 0.0000 1
# **D(E_F)**: 2.9 states/eV per cell
# **Excess energy over the best structure of this formula in the dataset**: 0 meV/atom

***

# 2
# Ba2HgGe4Pt3 | Alexandria via LeMat-Bulk | PBE | optimized geometry
data_Ba2HgGe4Pt3
_chemical_formula_sum 'Ba2 Hg1 Ge4 Pt3'
_space_group_name_H-M_alt 'P -4 m 2'
_space_group_IT_number 115
_space_group_name_Hall 'P -4 -2'
_cell_length_a 4.6178
_cell_length_b 4.6178
_cell_length_c 10.4448
_cell_angle_alpha 90.00
_cell_angle_beta 90.00
_cell_angle_gamma 90.00
loop_
_atom_site_label
_atom_site_fract_x
_atom_site_fract_y
_atom_site_fract_z
_atom_site_occupancy
Ba1 0.0000 0.5000 0.2462 1
Hg1 0.0000 0.0000 0.5000 1
Ge1 0.0000 0.0000 0.0000 1
Ge2 0.0000 0.5000 0.6396 1
Ge3 0.5000 0.5000 0.0000 1
Pt1 0.0000 0.5000 0.8869 1
Pt2 0.5000 0.5000 0.5000 1
# **D(E_F)**: 4.4 states/eV per cell
# **VASP energy**: -0.346 Ry per atom

***

# 3
# RbSc2Al2 | Alexandria via LeMat-Bulk | PBE | optimized geometry
data_RbSc2Al2
_chemical_formula_sum 'Rb2 Sc4 Al4'
_space_group_name_H-M_alt 'P 4/m b m'
_space_group_IT_number 127
_space_group_name_Hall '-P 4 2ab'
_cell_length_a 9.0628
_cell_length_b 9.0628
_cell_length_c 3.0599
_cell_angle_alpha 90.00
_cell_angle_beta 90.00
_cell_angle_gamma 90.00
loop_
_atom_site_label
_atom_site_fract_x
_atom_site_fract_y
_atom_site_fract_z
_atom_site_occupancy
Rb1 0.0000 0.0000 0.0000 1
Sc1 0.1229 0.3771 0.0000 1
Al1 0.1689 0.6689 0.5000 1
# **D(E_F)**: 6.2 states/eV per cell
# **VASP energy**: -0.309 Ry per atom

***

# 4
# PrSbPd6 | Alexandria via LeMat-Bulk | PBE | optimized geometry
data_PrSbPd6
_chemical_formula_sum 'Pr3 Sb3 Pd18'
_space_group_name_H-M_alt 'R -3 m'
_space_group_IT_number 166
_space_group_name_Hall '-R 3 2"'
_cell_length_a 5.5525
_cell_length_b 5.5525
_cell_length_c 20.2743
_cell_angle_alpha 90.00
_cell_angle_beta 90.00
_cell_angle_gamma 120.00
loop_
_atom_site_label
_atom_site_fract_x
_atom_site_fract_y
_atom_site_fract_z
_atom_site_occupancy
Pr1 0.0000 0.0000 0.0000 1
Sb1 0.0000 0.0000 0.5000 1
Pd1 0.0085 0.5043 0.9330 1
# **D(E_F)**: 10.2 states/eV per cell
# **E_form (uncorrected)**: -0.288 eV per atom

***

# 5
# CaTaTiH2 | Alexandria via LeMat-Bulk | PBE | optimized geometry
data_CaTaTiH2
_chemical_formula_sum 'Ca1 Ta1 Ti1 H2'
_space_group_name_H-M_alt 'P 4/m m m'
_space_group_IT_number 123
_space_group_name_Hall '-P 4 2'
_cell_length_a 3.8188
_cell_length_b 3.8188
_cell_length_c 6.7863
_cell_angle_alpha 90.00
_cell_angle_beta 90.00
_cell_angle_gamma 90.00
loop_
_atom_site_label
_atom_site_fract_x
_atom_site_fract_y
_atom_site_fract_z
_atom_site_occupancy
Ca1 0.0000 0.0000 0.0000 1
Ta1 0.5000 0.5000 0.5000 1
Ti1 0.0000 0.0000 0.5000 1
H1 0.0000 0.5000 0.0000 1
# **D(E_F)**: 3.7 states/eV per cell
# **VASP energy**: -0.343 Ry per atom

***

# 6
# TlZnRe2 | Alexandria via LeMat-Bulk | PBE | optimized geometry
data_TlZnRe2
_chemical_formula_sum 'Tl4 Zn4 Re8'
_space_group_name_H-M_alt 'I -4 2 d'
_space_group_IT_number 122
_space_group_name_Hall 'I -4 2bw'
_cell_length_a 3.9249
_cell_length_b 3.9249
_cell_length_c 19.4838
_cell_angle_alpha 90.00
_cell_angle_beta 90.00
_cell_angle_gamma 90.00
loop_
_atom_site_label
_atom_site_fract_x
_atom_site_fract_y
_atom_site_fract_z
_atom_site_occupancy
Tl1 0.0000 0.0000 0.0000 1
Zn1 0.0000 0.0000 0.5000 1
Re1 0.1833 0.2500 0.6250 1
# **D(E_F)**: 12.0 states/eV per cell
# **Excess energy over the best structure of this formula in the dataset**: 499 meV/atom

***

What did the third record say?
# RbSc2Al2 | Alexandria via LeMat-Bulk | PBE | optimized geometry
data_RbSc2Al2
_chemical_formula_sum 'Rb2 Sc4 Al4'
_space_group_name_H-M_alt 'P 4/m b m'
_space_group_IT_number 127
_space_group_name_Hall '-P 4 2ab'
_cell_length_a 9.0628
_cell_length_b 9.0628
_cell_length_c 3.0599
_cell_angle_alpha 90.00
_cell_angle_beta 90.00
_cell_angle_gamma 90.00
loop_
_atom_site_label
_atom_site_fract_x
_atom_site_fract_y
_atom_site_fract_z
_atom_site_occupancy
Rb1 0.0000 0.0000 0.0000 1
Sc1 0.1229 0.3771 0.0000 1
Al1 0.1689 0.6689 0.5000 1
# **D(E_F)**: 6.2 states/eV per cell
# **VASP energy**: -0.309 Ry per atom